CeTmCoHg PBE relaxed; ΔE_f = -0.1360 eV/atom; magnetic moment = 0.149 Bohr magnetons per cell; uncorrected energy = -18.36 eV per cell
1.0
0.000 3.571 3.571
3.571 0.000 3.571
3.571 3.571 0.000
Ce Tm Co Hg
1 1 1 1
Direct
0.000 0.000 0.000 Ce
0.500 0.500 0.500 Tm
0.250 0.250 0.250 Co
0.750 0.750 0.750 Hg

=====

KCaIr2 PBE relaxed; ΔE_f = 0.4971 eV/atom; magnetic moment = 0.365 Bohr magnetons per cell; relative energy among the computed polymorphs = 113 kJ/mol of formula units; uncorrected energy = -18.83 eV per cell
1.0
1.501 0.866 10.043
-1.501 0.866 10.043
0.000 -1.733 10.043
K Ca Ir
1 1 2
Direct
0.000 0.000 0.000 K
0.500 0.500 0.500 Ca
0.243 0.243 0.243 Ir
0.757 0.757 0.757 Ir

=====

La2Ga12Rh PBE relaxed; ΔE_f = -0.4816 eV/atom; magnetic moment = 0.000 Bohr magnetons per cell; uncorrected energy = -121.51 eV per cell
1.0
6.151 0.000 0.000
0.000 6.151 0.000
0.000 0.000 15.755
La Ga Rh
4 24 2
Direct
0.250 0.750 0.243 La
0.250 0.750 0.757 La
0.750 0.250 0.243 La
0.750 0.250 0.757 La
0.000 0.000 0.086 Ga
0.000 0.000 0.914 Ga
0.000 0.500 0.086 Ga
0.000 0.500 0.914 Ga
0.078 0.578 0.432 Ga
0.078 0.922 0.568 Ga
0.250 0.250 0.187 Ga
0.250 0.250 0.346 Ga
0.250 0.250 0.654 Ga
0.250 0.250 0.813 Ga
0.422 0.578 0.568 Ga
0.422 0.922 0.432 Ga
0.500 0.000 0.086 Ga
0.500 0.000 0.914 Ga
0.500 0.500 0.086 Ga
0.500 0.500 0.914 Ga
0.578 0.078 0.568 Ga
0.578 0.422 0.432 Ga
0.750 0.750 0.187 Ga
0.750 0.750 0.346 Ga
0.750 0.750 0.654 Ga
0.750 0.750 0.813 Ga
0.922 0.078 0.432 Ga
0.922 0.422 0.568 Ga
0.250 0.750 0.000 Rh
0.750 0.250 0.000 Rh